Record 1
The following is a PBE calculation of crystalline DyTm2InN at its relaxed geometry, from the Alexandria database.

The structure in CIF format:
```
data_DyTm2InN
_chemical_formula_sum 'Dy1 Tm2 In1 N1'
_cell_length_a 4.738
_cell_length_b 4.738
_cell_length_c 4.814
_cell_angle_alpha 90.00
_cell_angle_beta 90.00
_cell_angle_gamma 90.00
_space_group_name_H-M_alt 'P 4/m m m'
_space_group_IT_number 123
_space_group_name_Hall '-P 4 2'
loop_
_atom_site_label
_atom_site_fract_x
_atom_site_fract_y
_atom_site_fract_z
_atom_site_occupancy
Dy1 0.000 0.000 0.000 1
Tm1 0.000 0.500 0.500 1
In1 0.500 0.500 0.000 1
N1 0.000 0.000 0.500 1
```

Output
D(E_F): 2.418 states/eV/f.u.
electronic total energy: -29.67 eV for the cell shown
crystal system: tetragonal

---

Record 2
The following is a PBE calculation of crystalline Dy2TmInN4 at its relaxed geometry, from the Alexandria database.

The structure in CIF format:
```
data_Dy2TmInN4
_chemical_formula_sum 'Dy2 Tm1 In1 N4'
_cell_length_a 5.928
_cell_length_b 3.435
_cell_length_c 5.948
_cell_angle_alpha 90.00
_cell_angle_beta 110.37
_cell_angle_gamma 90.00
_space_group_name_H-M_alt 'P 1 2/m 1'
_space_group_IT_number 10
loop_
_space_group_symop_operation_xyz
'x,y,z'
'-x,-y,-z'
'-x,y,-z'
'x,-y,z'
loop_
_atom_site_label
_atom_site_fract_x
_atom_site_fract_y
_atom_site_fract_z
_atom_site_occupancy
Dy1 0.000 0.000 0.000 1
Dy2 0.000 0.500 0.500 1
Tm1 0.500 0.000 0.500 1
In1 0.500 0.500 0.000 1
N1 0.248 0.500 0.258 1
N2 0.252 0.000 0.749 1
```

Output
electronic total energy: -59.54 eV for the cell shown
crystal system: monoclinic

---

Record 3
The following is a PBE calculation of crystalline DyY2InN at its relaxed geometry, from the Alexandria database.

The structure in CIF format:
```
data_DyY2InN
_chemical_formula_sum 'Dy1 Y2 In1 N1'
_cell_length_a 4.831
_cell_length_b 4.831
_cell_length_c 4.823
_cell_angle_alpha 90.00
_cell_angle_beta 90.00
_cell_angle_gamma 90.00
_space_group_name_H-M_alt 'P 4/m m m'
_space_group_IT_number 123
_space_group_name_Hall '-P 4 2'
loop_
_atom_site_label
_atom_site_fract_x
_atom_site_fract_y
_atom_site_fract_z
_atom_site_occupancy
Dy1 0.000 0.000 0.000 1
Y1 0.000 0.500 0.500 1
In1 0.500 0.500 0.000 1
N1 0.000 0.000 0.500 1
```

Output
D(E_F): 2.579 states/eV/f.u.
electronic total energy: -33.64 eV for the cell shown
crystal system: tetragonal

---

Record 4
The following is a PBE calculation of crystalline Dy2YInN at its relaxed geometry, from the Alexandria database.

The structure in CIF format:
```
data_Dy2YInN
_chemical_formula_sum 'Dy2 Y1 In1 N1'
_cell_length_a 4.821
_cell_length_b 4.821
_cell_length_c 4.830
_cell_angle_alpha 90.00
_cell_angle_beta 90.00
_cell_angle_gamma 90.00
_space_group_name_H-M_alt 'P 4/m m m'
_space_group_IT_number 123
_space_group_name_Hall '-P 4 2'
loop_
_atom_site_label
_atom_site_fract_x
_atom_site_fract_y
_atom_site_fract_z
_atom_site_occupancy
Dy1 0.000 0.500 0.000 1
Y1 0.000 0.000 0.500 1
In1 0.500 0.500 0.500 1
N1 0.000 0.000 0.000 1
```

Output
D(E_F): 2.571 states/eV/f.u.
electronic total energy: -31.75 eV for the cell shown
crystal system: tetragonal

---

Record 5
The following is a PBE calculation of crystalline DyY2InN4 at its relaxed geometry, from the Alexandria database.

The structure in CIF format:
```
data_DyY2InN4
_chemical_formula_sum 'Dy1 Y2 In1 N4'
_cell_length_a 5.978
_cell_length_b 3.455
_cell_length_c 5.982
_cell_angle_alpha 90.00
_cell_angle_beta 110.42
_cell_angle_gamma 90.00
_space_group_name_H-M_alt 'P 1 2/m 1'
_space_group_IT_number 10
loop_
_space_group_symop_operation_xyz
'x,y,z'
'-x,-y,-z'
'-x,y,-z'
'x,-y,z'
loop_
_atom_site_label
_atom_site_fract_x
_atom_site_fract_y
_atom_site_fract_z
_atom_site_occupancy
Dy1 0.000 0.000 0.000 1
Y1 0.000 0.500 0.500 1
Y2 0.500 0.000 0.500 1
In1 0.500 0.500 0.000 1
N1 0.243 0.500 0.256 1
N2 0.251 0.000 0.752 1
```

Output
electronic total energy: -63.05 eV for the cell shown
crystal system: monoclinic

---

Record 6
The following is a PBE calculation of crystalline NaDyIn4 at its relaxed geometry, from the Alexandria database.

The structure in CIF format:
```
data_NaDyIn4
_chemical_formula_sum 'Na1 Dy1 In4'
_cell_length_a 3.439
_cell_length_b 5.053
_cell_length_c 8.956
_cell_angle_alpha 90.00
_cell_angle_beta 90.00
_cell_angle_gamma 90.00
_space_group_name_H-M_alt 'P m m m'
_space_group_IT_number 47
loop_
_space_group_symop_operation_xyz
'x,y,z'
'-x,-y,-z'
'-x,-y,z'
'x,y,-z'
'x,-y,-z'
'-x,y,z'
'-x,y,-z'
'x,-y,z'
loop_
_atom_site_label
_atom_site_fract_x
_atom_site_fract_y
_atom_site_fract_z
_atom_site_occupancy
Na1 0.000 0.000 0.000 1
Dy1 0.000 0.500 0.500 1
In1 0.500 0.000 0.337 1
In2 0.500 0.500 0.167 1
```

Output
D(E_F): 3.198 states/eV/f.u.
crystal system: orthorhombic
ΔH_f (0 K): -1.44 eV/f.u.
ΔE to the lowest computed polymorph: 0.000 eV/f.u.

---

Record 7
The following is a PBE calculation of crystalline NaDy3In4 at its relaxed geometry, from the Alexandria database.

The structure in CIF format:
```
data_NaDy3In4
_chemical_formula_sum 'Na3 Dy9 In12'
_cell_length_a 5.2829
_cell_length_b 5.2829
_cell_length_c 26.1658
_cell_angle_alpha 90.00
_cell_angle_beta 90.00
_cell_angle_gamma 120.00
_space_group_name_H-M_alt 'R -3 m'
_space_group_IT_number 166
_space_group_name_Hall '-R 3 2"'
loop_
_atom_site_label
_atom_site_fract_x
_atom_site_fract_y
_atom_site_fract_z
_atom_site_occupancy
Na1 0.0000 0.0000 0.0000 1
Dy1 0.0000 0.0000 0.2534 1
Dy2 0.0000 0.0000 0.5000 1
In1 0.0000 0.0000 0.1248 1
In2 0.0000 0.0000 0.3754 1
```

Output
D(E_F): 4.019 states/eV/f.u.
crystal system: trigonal
ΔH_f (0 K): -2.98 eV/f.u.

---

Record 8
The following is a PBE calculation of crystalline NaDy2In at its relaxed geometry, from the Alexandria database.

The structure in CIF format:
```
data_NaDy2In
_chemical_formula_sum 'Na1 Dy2 In1'
_cell_length_a 3.572
_cell_length_b 3.572
_cell_length_c 9.434
_cell_angle_alpha 90.00
_cell_angle_beta 90.00
_cell_angle_gamma 90.00
_space_group_name_H-M_alt 'P 4/m m m'
_space_group_IT_number 123
_space_group_name_Hall '-P 4 2'
loop_
_atom_site_label
_atom_site_fract_x
_atom_site_fract_y
_atom_site_fract_z
_atom_site_occupancy
Na1 0.000 0.000 0.000 1
Dy1 0.500 0.500 0.287 1
In1 0.000 0.000 0.500 1
```

Output
D(E_F): 3.547 states/eV/f.u.
crystal system: tetragonal
ΔH_f (0 K): -0.27 eV/f.u.